1.
The following is a DFT calculation (PBE) of a geometry-optimized Sc2BeBiBr structure.

As for the density of states at the Fermi level: 4.4 states/eV/f.u. The value obtained for the uncorrected formation energy is 43.3 kJ/mol of atoms.

It has space group P4/mmm (No. 123), with a = 5.682 Å, b = 5.682 Å, c = 4.483 Å, α = 90.00°, β = 90.00° and γ = 90.00°. The asymmetric unit holds Sc at (0.000, 0.500, 0.000), Be at (0.000, 0.000, 0.500), Bi at (0.000, 0.000, 0.000) and Br at (0.500, 0.500, 0.500).


2.
The following is a DFT calculation (PBE) of a geometry-optimized LiPmIn2Au4 structure.

As for the formation energy: -0.536 eV/atom. As for the density of states at the Fermi level: 3.4 states/eV/f.u.

It has space group R-3m (No. 166, hexagonal axes), with a = 4.7707 Å, b = 4.7707 Å, c = 25.1630 Å, α = 90.00°, β = 90.00° and γ = 120.00°. The asymmetric unit holds Li at (0.0000, 0.0000, 0.0000), Pm at (0.0000, 0.0000, 0.5000), In at (0.0000, 0.0000, 0.2558), Au at (0.0000, 0.0000, 0.1096) and Au at (0.0000, 0.0000, 0.3697).


3.
The following is a DFT calculation (PBE) of a geometry-optimized Al5Re structure.

As for the formation energy: -0.043 eV/atom. As for the density of states at the Fermi level: 3.0 states/eV/f.u.

It has space group Cmmm (No. 65), with a = 4.096 Å, b = 12.246 Å, c = 3.639 Å, α = 90.00°, β = 90.00° and γ = 90.00°. The asymmetric unit holds Al at (0.000, 0.000, 0.000), Al at (0.000, 0.160, 0.500), Al at (0.000, 0.335, 0.000) and Re at (0.000, 0.500, 0.500).


4.
The following is a DFT calculation (PBE) of a geometry-optimized LiSiRhAu structure.

As for the density of states at the Fermi level: 2.2 states/eV/f.u. The value obtained for the uncorrected formation energy is -44.5 kJ/mol of atoms.

It has space group F-43m (No. 216), with a = 6.002 Å, b = 6.002 Å, c = 6.002 Å, α = 90.00°, β = 90.00° and γ = 90.00°. The asymmetric unit holds Li at (0.000, 0.000, 0.000), Si at (0.000, 0.000, 0.500), Rh at (0.250, 0.250, 0.250) and Au at (0.250, 0.250, 0.750).


One value per record, in order, for volume: 28.94, 20.67, 15.21, 13.52 Å³ per atom.
One value per record, in order, for uncorrected energy: -3.939, -3.693, -5.236, -4.953 eV/atom.
One value per record, in order, for M_tot: 2.00, 0.00, 0.00, 0.00 μB/f.u..